1.
A geometry-optimized CsGdHgTe3 structure. Source: OQMD via LeMat-Bulk, functional PBE.

Lattice parameters (Å, degrees): 17.1589 4.5767 12.1163 90.00 90.00 90.00
Fractional positions:
Te: 0.9096 0.2500 0.0827
Te: 0.4096 0.2500 0.4173
Te: 0.5904 0.7500 0.5827
Te: 0.4153 0.7500 0.1258
Te: 0.3623 0.7500 0.7316
Te: 0.0904 0.7500 0.9173
Te: 0.8623 0.7500 0.7684
Te: 0.5847 0.2500 0.8742
Te: 0.9153 0.7500 0.3742
Te: 0.6377 0.2500 0.2684
Te: 0.1377 0.2500 0.2316
Te: 0.0847 0.2500 0.6258
Hg: 0.9805 0.7500 0.6068
Hg: 0.4805 0.7500 0.8932
Hg: 0.0195 0.2500 0.3932
Hg: 0.5195 0.2500 0.1068
Gd: 0.9772 0.2500 0.8497
Gd: 0.4772 0.2500 0.6503
Gd: 0.0228 0.7500 0.1503
Gd: 0.5228 0.7500 0.3497
Cs: 0.7339 0.7500 0.0443
Cs: 0.7661 0.2500 0.5443
Cs: 0.2661 0.2500 0.9557
Cs: 0.2339 0.7500 0.4557

Properties
Calculated volume = 951.50 Å³/cell
Crystal system = orthorhombic
Magnetic moment = 0.00 μB per formula unit
Total DFT energy (no corrections) = -3.52 eV per atom
Distance to the lowest polymorph of the same formula = 21 meV per atom



2.
A geometry-optimized Pr4S3NCl3 structure. Source: OQMD via LeMat-Bulk, functional PBE.

Lattice parameters (Å, degrees): 9.4171 9.4171 6.9297 90.00 90.00 120.00
Fractional positions:
Pr: 0.2016 0.4033 0.2523
Pr: 0.4033 0.2016 0.7523
Pr: 0.2016 0.7984 0.2523
Pr: 0.3333 0.6667 0.7867
Pr: 0.7984 0.2016 0.7523
Pr: 0.7984 0.5967 0.7523
Pr: 0.5967 0.7984 0.2523
Pr: 0.6667 0.3333 0.2867
N: 0.3333 0.6667 0.1322
N: 0.6667 0.3333 0.6322
S: 0.4678 0.5322 0.5301
S: 0.5322 0.4678 0.0301
S: 0.9356 0.4678 0.0301
S: 0.4678 0.9356 0.5301
S: 0.0644 0.5322 0.5301
S: 0.5322 0.0644 0.0301
Cl: 0.2632 0.1316 0.3621
Cl: 0.1316 0.2632 0.8621
Cl: 0.8684 0.1316 0.3621
Cl: 0.8684 0.7368 0.3621
Cl: 0.1316 0.8684 0.8621
Cl: 0.7368 0.8684 0.8621

Properties
Calculated volume = 532.21 Å³/cell
Crystal system = hexagonal
Magnetic moment = 0.00 μB per formula unit
Total DFT energy (no corrections) = -6.20 eV per atom



3.
A geometry-optimized BeAgSO structure. Source: OQMD via LeMat-Bulk, functional PBE.

Lattice parameters (Å, degrees): 3.7758 3.7758 8.3333 90.00 90.00 90.00
Fractional positions:
O: 0.5000 0.0000 0.5000
O: 0.0000 0.5000 0.5000
Ag: 0.0000 0.0000 0.3811
Ag: 0.5000 0.5000 0.6189
Be: 0.5000 0.5000 0.9060
Be: 0.0000 0.0000 0.0940
S: 0.5000 0.5000 0.1435
S: 0.0000 0.0000 0.8565

Properties
Calculated volume = 118.81 Å³/cell
Crystal system = tetragonal
Total DFT energy (no corrections) = -3.79 eV per atom
Distance to the lowest polymorph of the same formula = 1291 meV per atom



4.
A geometry-optimized YTmTlFe2 structure. Source: OQMD via LeMat-Bulk, functional PBE.

Lattice parameters (Å, degrees): 3.8152 7.1845 7.1845 30.91 90.00 90.00
Last column: magnetic moment on the atom in μB.
Fractional positions:
Tm: 0.5000 0.6388 0.6388  -0.19
Tl: 0.0000 0.0017 0.0017  -0.02
Y: 0.5000 0.3646 0.3646  -0.13
Fe: 0.0000 0.7877 0.7877  1.04
Fe: 0.0000 0.2072 0.2072  1.05

Properties
Calculated volume = 101.17 Å³/cell
Crystal system = orthorhombic
Magnetic moment = 1.65 μB per formula unit
Total DFT energy (no corrections) = -6.14 eV per atom